Li4MnCo2O7: relaxed, PBE+U.

```
data_Li4MnCo2O7
_chemical_formula_sum 'Li8 Mn2 Co4 O14'
_cell_length_a 2.9064
_cell_length_b 9.6779
_cell_length_c 9.6793
_cell_angle_alpha 115.18
_cell_angle_beta 96.76
_cell_angle_gamma 92.57
_space_group_name_H-M_alt 'P -1'
_space_group_IT_number 2
_space_group_name_Hall '-P 1'
loop_
_atom_site_label
_atom_site_fract_x
_atom_site_fract_y
_atom_site_fract_z
Li1 0.0000 0.0000 0.0000
Li2 0.0263 0.7924 0.1347
Li3 0.1947 0.3571 0.4274
Li4 0.3855 0.9381 0.7317
Li5 0.5000 0.5000 0.0000
Mn1 0.2695 0.1493 0.5731
Co1 0.1721 0.5636 0.2845
Co2 0.4297 0.7217 0.8618
O1 0.0610 0.3860 0.0887
O2 0.0998 0.1938 0.2051
O3 0.1527 0.9666 0.3635
O4 0.3002 0.7377 0.4870
O5 0.3228 0.5384 0.6630
O6 0.3373 0.3375 0.7751
O7 0.4911 0.1250 0.9462
```

Li2Mn2CoO8: relaxed, PBE+U.

```
data_Li2Mn2CoO8
_chemical_formula_sum 'Li4 Mn4 Co2 O16'
_cell_length_a 9.9315
_cell_length_b 5.7843
_cell_length_c 6.0302
_cell_angle_alpha 90.00
_cell_angle_beta 126.03
_cell_angle_gamma 90.00
_space_group_name_H-M_alt 'C 1 2/m 1'
_space_group_IT_number 12
_space_group_name_Hall '-C 2y'
loop_
_atom_site_label
_atom_site_fract_x
_atom_site_fract_y
_atom_site_fract_z
Li1 0.1331 0.0000 0.3766
Mn1 0.2500 0.2500 0.0000
Co1 0.0000 0.5000 0.0000
O1 0.0149 0.2721 0.8013
O2 0.2425 0.5000 0.2130
O3 0.2454 0.0000 0.1970
```

Results
- DOS at the Fermi energy: 0.378 states/eV per atom

Li7Mn4CoO12: relaxed, PBE+U.

```
data_Li7Mn4CoO12
_chemical_formula_sum 'Li14 Mn8 Co2 O24'
_cell_length_a 15.2734
_cell_length_b 2.9388
_cell_length_c 9.8452
_cell_angle_alpha 90.00
_cell_angle_beta 100.73
_cell_angle_gamma 90.00
_space_group_name_H-M_alt 'C 1 m 1'
_space_group_IT_number 8
_space_group_name_Hall 'C -2y'
loop_
_atom_site_label
_atom_site_fract_x
_atom_site_fract_y
_atom_site_fract_z
Li1 0.0000 0.0000 0.0000
Li2 0.0024 0.5000 0.5107
Li3 0.1673 0.0000 0.5021
Li4 0.1778 0.5000 0.0175
Li5 0.2495 0.0000 0.2572
Li6 0.3223 0.5000 0.4941
Li7 0.3274 0.0000 0.0173
Mn1 0.0879 0.5000 0.2586
Mn2 0.2435 0.5000 0.7564
Mn3 0.4125 0.0000 0.7484
Mn4 0.4119 0.5000 0.2541
Co1 0.0811 0.0000 0.7611
O1 0.0256 0.5000 0.8695
O2 0.0407 0.0000 0.3629
O3 0.1168 0.0000 0.1448
O4 0.1285 0.5000 0.6424
O5 0.1965 0.5000 0.3717
O6 0.2106 0.0000 0.8817
O7 0.2922 0.0000 0.6377
O8 0.3030 0.5000 0.1408
O9 0.3694 0.5000 0.8576
O10 0.3829 0.0000 0.3674
O11 0.4485 0.5000 0.6368
O12 0.4584 0.0000 0.1496
```

Results
- DOS at the Fermi energy: 0.087 states/eV per atom

In the order shown, the computed energy values come out to -5.816, -6.053, -6.194 eV/atom.
In the order shown, the computed magnetization values come out to 5.0, 5.0, 16.0 μB per formula unit.